No. 1
Density functional theory data (GGA-PBE) for a relaxed Nd2Mg2Co15 crystal.

Cell: 6.3951 6.3951 6.3951 Å, 83.44 83.44 83.44°
Sites, in units of the cell vectors:
Co1 0.0000 0.5000 0.0000
Co2 0.6507 0.1547 0.6507
Co3 0.7109 0.2891 0.0000
Mg1 0.1050 0.1050 0.1050
Co4 0.2891 0.0000 0.7109
Co5 0.8453 0.3493 0.3493
Co6 0.3493 0.3493 0.8453
Co7 0.7109 0.0000 0.2891
Co8 0.1547 0.6507 0.6507
Co9 0.5000 0.0000 0.0000
Co10 0.6507 0.6507 0.1547
Mg2 0.8950 0.8950 0.8950
Co11 0.3493 0.8453 0.3493
Nd1 0.3518 0.3518 0.3518
Co12 0.0000 0.7109 0.2891
Co13 0.2891 0.7109 0.0000
Nd2 0.6482 0.6482 0.6482
Co14 0.0000 0.2891 0.7109
Co15 0.0000 0.0000 0.5000

V = 256.8 Å³/f.u.
Space group = R-3m
D(E_F) = 23.37 states/eV/cell
Spin magnetization = 20.211 μB/cell
Calculated density = 7.90 g/cm³

No. 2
Density functional theory data (GGA-PBE) for a relaxed NdMgCo crystal.

Cell: 3.7731 4.4800 4.4800 Å, 120.00 90.00 90.00°
Sites, in units of the cell vectors:
Co1 0.1676 0.0000 0.0000
Mg1 0.1661 0.3333 0.6667
Nd1 0.6663 0.6667 0.3333

V = 65.6 Å³/f.u.
Space group = P3m1
D(E_F) = 1.72 states/eV/cell
Spin magnetization = 0.239 μB/cell
Calculated density = 5.76 g/cm³

No. 3
Density functional theory data (GGA-PBE) for a relaxed NdMg3Co crystal.

Cell: 4.8560 4.8560 4.8560 Å, 90.00 90.00 90.00°
Sites, in units of the cell vectors:
Co1 0.0000 0.0000 0.0000
Mg1 0.0000 0.5000 0.0000
Mg2 0.0000 0.0000 0.5000
Nd1 0.5000 0.5000 0.5000
Mg3 0.5000 0.0000 0.0000

V = 114.5 Å³/f.u.
Space group = Pm-3m
D(E_F) = 6.04 states/eV/cell
Spin magnetization = 0.048 μB/cell
Calculated density = 4.00 g/cm³

No. 4
Density functional theory data (GGA-PBE) for a relaxed NdMg3Co8 crystal.

Cell: 4.9228 4.9228 8.6313 Å, 73.43 73.43 60.00°
Sites, in units of the cell vectors:
Co1 0.9380 0.4284 0.6956
Mg1 0.3741 0.3741 0.8776
Co2 0.6885 0.6885 0.9344
Mg2 0.4927 0.4927 0.5219
Co3 0.9380 0.9380 0.6956
Co4 0.4284 0.9380 0.6956
Co5 0.9451 0.4396 0.1757
Mg3 0.0036 0.0036 0.9892
Co6 0.1869 0.1869 0.4394
Co7 0.4396 0.9451 0.1757
Co8 0.4396 0.4396 0.1757
Nd1 0.8755 0.8755 0.3734

V = 171.0 Å³/f.u.
Space group = R3m
D(E_F) = 15.29 states/eV/cell
Spin magnetization = 10.751 μB/cell
Calculated density = 6.69 g/cm³

No. 5
Density functional theory data (GGA-PBE) for a relaxed Nd2MgCo2 crystal.

Cell: 4.1027 3.9442 7.3729 Å, 105.51 90.00 90.00°
Sites, in units of the cell vectors:
Mg1 0.0000 0.0000 0.0000
Nd1 0.5000 0.3619 0.7239
Co1 0.0000 0.7882 0.5765
Nd2 0.5000 0.6381 0.2761
Co2 0.0000 0.2118 0.4235

V = 115.0 Å³/f.u.
Space group = Cmmm
D(E_F) = 5.03 states/eV/cell
Spin magnetization = 1.705 μB/cell
Calculated density = 6.22 g/cm³

No. 6
Density functional theory data (GGA-PBE) for a relaxed Nd3Mg3Co2 crystal.

Cell: 4.0490 5.3539 9.4017 Å, 97.92 102.43 90.00°
Sites, in units of the cell vectors:
Mg1 0.3608 0.9208 0.7216
Nd1 0.1664 0.5848 0.3328
Mg2 0.6392 0.0792 0.2784
Nd2 0.8336 0.4152 0.6672
Nd3 0.0000 0.0000 0.0000
Co1 0.2354 0.0901 0.4709
Mg3 0.5000 0.5000 0.0000
Co2 0.7646 0.9099 0.5291

V = 197.0 Å³/f.u.
Space group = C2/m
D(E_F) = 9.30 states/eV/cell
Spin magnetization = 1.438 μB/cell
Calculated density = 5.25 g/cm³

The following formation enthalpy at 0 K values (in eV per atom) correspond, in order, to the records above: -0.024; 0.142; 0.085; -0.026; -0.101; -0.051.